Below is crystalline Ti3Be3C at its relaxed geometry, with properties calculated at the PBE level.

Results
The crystal system is cubic. For the spin magnetization, the calculation gives 0.0 μB per formula unit. The space group is Fd-3m (227). As for the formation energy: -0.399 eV/atom.

Cell: 7.720 7.720 7.720 Å, 60.00 60.00 60.00°
Atoms (fractional coordinates):
Ti  0.074  0.074  0.676
Ti  0.074  0.676  0.074
Ti  0.074  0.676  0.676
Ti  0.324  0.324  0.926
Ti  0.324  0.926  0.324
Ti  0.324  0.926  0.926
Ti  0.676  0.074  0.074
Ti  0.676  0.074  0.676
Ti  0.676  0.676  0.074
Ti  0.926  0.324  0.324
Ti  0.926  0.324  0.926
Ti  0.926  0.926  0.324
Be  0.000  0.500  0.500
Be  0.302  0.302  0.302
Be  0.302  0.302  0.595
Be  0.302  0.595  0.302
Be  0.405  0.698  0.698
Be  0.500  0.000  0.500
Be  0.500  0.500  0.000
Be  0.500  0.500  0.500
Be  0.595  0.302  0.302
Be  0.698  0.405  0.698
Be  0.698  0.698  0.405
Be  0.698  0.698  0.698
C  0.000  0.000  0.000
C  0.000  0.000  0.500
C  0.000  0.500  0.000
C  0.500  0.000  0.000


Below is crystalline TiBe2C at its relaxed geometry, with properties calculated at the PBE level.

Results
The crystal system is tetragonal. For the spin magnetization, the calculation gives 0.0 μB per formula unit. The space group is I-42d (122). As for the formation energy: 0.088 eV/atom.

Cell: 4.824 4.824 4.824 Å, 100.93 100.93 128.36°
Atoms (fractional coordinates):
Ti  0.000  0.000  0.000
Ti  0.750  0.250  0.500
Be  0.220  0.125  0.595
Be  0.375  0.780  0.905
Be  0.530  0.625  0.405
Be  0.875  0.470  0.095
C  0.250  0.750  0.500
C  0.500  0.500  0.000


Below is crystalline Ti2BeZnC at its relaxed geometry, with properties calculated at the PBE level.

Results
The crystal system is tetragonal. For the spin magnetization, the calculation gives 0.0 μB per formula unit. The space group is P4/mmm (123). As for the formation energy: -0.328 eV/atom.

Cell: 4.246 4.246 3.468 Å, 90.00 90.00 90.00°
Atoms (fractional coordinates):
Ti  0.000  0.500  0.000
Ti  0.500  0.000  0.000
Be  0.000  0.000  0.500
Zn  0.500  0.500  0.500
C  0.000  0.000  0.000


Below is crystalline Ti2BeZnC at its relaxed geometry, with properties calculated at the PBE level.

Results
The crystal system is monoclinic. For the spin magnetization, the calculation gives 0.0 μB per formula unit. The space group is P2_1/m (11). As for the formation energy: -0.357 eV/atom.

Cell: 6.586 3.086 6.737 Å, 90.00 112.63 90.00°
Atoms (fractional coordinates):
Ti  0.111  0.250  0.387
Ti  0.191  0.250  0.995
Ti  0.809  0.750  0.005
Ti  0.889  0.750  0.613
Be  0.425  0.750  0.365
Be  0.575  0.250  0.635
Zn  0.345  0.750  0.738
Zn  0.655  0.250  0.262
C  0.150  0.750  0.193
C  0.850  0.250  0.807


Below is crystalline TiBeZn2C at its relaxed geometry, with properties calculated at the PBE level.

Results
The crystal system is tetragonal. For the spin magnetization, the calculation gives 0.0 μB per formula unit. The space group is P4/mmm (123). As for the formation energy: 0.696 eV/atom.

Cell: 4.538 4.538 3.273 Å, 90.00 90.00 90.00°
Atoms (fractional coordinates):
Ti  0.000  0.000  0.000
Be  0.500  0.500  0.500
Zn  0.000  0.500  0.500
Zn  0.500  0.000  0.500
C  0.500  0.500  0.000


Below is crystalline BeTlC2 at its relaxed geometry, with properties calculated at the PBE level.

Results
The crystal system is cubic. For the spin magnetization, the calculation gives 0.0 μB per formula unit. The space group is Fm-3m (225). As for the formation energy: 2.535 eV/atom.

Cell: 4.089 4.089 4.089 Å, 60.00 60.00 60.00°
Atoms (fractional coordinates):
Be  0.000  0.000  0.000
Tl  0.500  0.500  0.500
C  0.250  0.250  0.250
C  0.750  0.750  0.750


Below is crystalline BeTl2C at its relaxed geometry, with properties calculated at the PBE level.

Results
The crystal system is cubic. For the spin magnetization, the calculation gives 0.0 μB per formula unit. The space group is Fm-3m (225). As for the formation energy: 1.711 eV/atom.

Cell: 4.715 4.715 4.715 Å, 60.00 60.00 60.00°
Atoms (fractional coordinates):
Be  0.000  0.000  0.000
Tl  0.250  0.250  0.250
Tl  0.750  0.750  0.750
C  0.500  0.500  0.500


Below is crystalline BeTlC2 at its relaxed geometry, with properties calculated at the PBE level.

Results
The crystal system is tetragonal. For the spin magnetization, the calculation gives 0.0 μB per formula unit. The space group is I-42d (122). As for the formation energy: 1.471 eV/atom.

Cell: 6.475 6.475 6.475 Å, 143.46 143.46 52.63°
Atoms (fractional coordinates):
Be  0.000  0.000  0.000
Be  0.750  0.250  0.500
Tl  0.250  0.750  0.500
Tl  0.500  0.500  0.000
C  0.375  0.214  0.339
C  0.786  0.125  0.161
C  0.875  0.036  0.661
C  0.964  0.625  0.839